A relaxed structure of Zr2W. Source: the Open Quantum Materials Database, functional PBE.

## Properties
Calculated total energy, eV/atom: -7.369
Formation enthalpy at 0 K, eV per atom: 2.649

POSCAR file:
```
Zr2W
1.0
0.000 5.711 5.711
5.711 0.000 5.711
5.711 5.711 0.000
Zr W
4 2
direct
0.000 0.000 0.000 Zr
0.000 0.000 0.500 Zr
0.000 0.500 0.000 Zr
0.500 0.000 0.000 Zr
0.125 0.125 0.125 W
0.875 0.875 0.875 W
```